1.
First-principles (PBE) data for a relaxed structure of LiNdAgRh, as listed in Alexandria via LeMat-Bulk.

Properties
V (Å³/atom): 20.3
Energy (eV per atom): -4.467
Total magnetization (μB/cell): 0.00
Space group: F-43m (216)

Cell lengths 4.8598, 4.8598, 4.8598 Å; angles 60.00, 60.00, 60.00 degrees
Atoms (fractional coordinates):
Li  0.0000  0.0000  0.0000
Nd  0.5000  0.5000  0.5000
Ag  0.7500  0.7500  0.7500
Rh  0.2500  0.2500  0.2500

2.
First-principles (PBE) data for a relaxed structure of CaMnIr, as listed in Alexandria via LeMat-Bulk.

Properties
E above lowest polymorph (eV/f.u.): 1.04
V (Å³/atom): 18.1
Energy (eV per atom): -6.535
Total magnetization (μB/cell): 1.48
Space group: P-1 (2)

Cell lengths 2.8674, 5.3500, 7.0832 Å; angles 90.25, 90.12, 90.44 degrees
Atoms (fractional coordinates):
Ca  0.2485  0.1038  0.2743
Ca  0.7515  0.8962  0.7257
Mn  0.2521  0.6214  0.0644
Mn  0.7479  0.3786  0.9356
Ir  0.2490  0.3989  0.6445
Ir  0.7510  0.6011  0.3555

3.
First-principles (PBE) data for a relaxed structure of Rh2NO, as listed in Alexandria via LeMat-Bulk.

Properties
E above lowest polymorph (eV/f.u.): 2.72
V (Å³/atom): 10.3
Energy (eV per atom): -6.187
Total magnetization (μB/cell): 0.00
Energy relative to the elements, uncorrected (meV/atom): 810
Space group: Fm-3m (225)

Cell lengths 3.8765, 3.8765, 3.8765 Å; angles 60.00, 60.00, 60.00 degrees
Atoms (fractional coordinates):
Rh  0.2500  0.2500  0.2500
Rh  0.7500  0.7500  0.7500
N  0.0000  0.0000  0.0000
O  0.5000  0.5000  0.5000

4.
First-principles (PBE) data for a relaxed structure of Dy2HoAg, as listed in Alexandria via LeMat-Bulk.

Properties
E above lowest polymorph (eV/f.u.): 0.43
V (Å³/atom): 28.3
Energy (eV per atom): -4.179
Total magnetization (μB/cell): 0.00
Space group: R-3m (166)

Cell lengths 10.6601, 10.6601, 10.6601 Å; angles 19.10, 19.10, 19.10 degrees
Atoms (fractional coordinates):
Dy  0.2420  0.2420  0.2420
Dy  0.7580  0.7580  0.7580
Ho  0.0000  0.0000  0.0000
Ag  0.5000  0.5000  0.5000